DFT (PBE-GGA) results for an optimized crystal structure of K3LaIr.

Calculated values
Magnetic moment (μB per atom): 0.211
Theoretical density (Mg/m³): 3.168
Excess energy over the best structure of this formula in the dataset (kJ/mol of formula units): 0
Symmetry: Pm-3m
Energy relative to the elements (kJ/mol of formula units): 526

Cell and atoms, written as POSCAR:
```
K3LaIr
1.0
6.171 0.000 0.000
0.000 6.171 0.000
0.000 0.000 6.171
K La Ir
3 1 1
direct
0.000 0.000 0.500 K
0.000 0.500 0.000 K
0.500 0.000 0.000 K
0.500 0.500 0.500 La
0.000 0.000 0.000 Ir
```